Record 1
# Ag3SF PBE optimized geometry
data_Ag3SF
_chemical_formula_sum 'Ag3 S1 F1'
_space_group_name_H-M_alt 'P 1'
_space_group_IT_number 1
_cell_length_a 4.781
_cell_length_b 4.781
_cell_length_c 4.781
_cell_angle_alpha 90.00
_cell_angle_beta 90.00
_cell_angle_gamma 90.00
loop_
_space_group_symop_operation_xyz
'x,y,z'
loop_
_atom_site_label
_atom_site_type_symbol
_atom_site_fract_x
_atom_site_fract_y
_atom_site_fract_z
Ag1 Ag 0.000 0.000 0.500
Ag2 Ag 0.000 0.500 0.000
Ag3 Ag 0.500 0.000 0.000
S1 S 0.000 0.000 0.000
F1 F 0.500 0.500 0.500
# Fermi-level density of states = 0.000 states/eV/atom
# total magnetic moment = 0.0 μB/f.u.
# relative energy among the computed polymorphs = 165 meV per atom
# density = 5.694 g/cm³
# ΔE_f (raw) = -0.260 eV/atom

Record 2
# CsRe2S4 PBE optimized geometry
data_CsRe2S4
_chemical_formula_sum 'Cs2 Re4 S8'
_space_group_name_H-M_alt 'P 1'
_space_group_IT_number 1
_cell_length_a 8.128
_cell_length_b 8.119
_cell_length_c 6.679
_cell_angle_alpha 65.80
_cell_angle_beta 65.65
_cell_angle_gamma 48.55
loop_
_space_group_symop_operation_xyz
'x,y,z'
loop_
_atom_site_label
_atom_site_type_symbol
_atom_site_fract_x
_atom_site_fract_y
_atom_site_fract_z
Cs1 Cs 0.000 0.000 0.000
Cs2 Cs 0.250 0.250 0.250
Re1 Re 0.052 0.664 0.642
Re2 Re 0.608 0.608 0.198
Re3 Re 0.608 0.608 0.586
Re4 Re 0.664 0.052 0.642
S1 S 0.270 0.828 0.452
S2 S 0.426 0.427 0.356
S3 S 0.427 0.426 0.791
S4 S 0.459 0.894 0.823
S5 S 0.798 0.801 0.980
S6 S 0.801 0.798 0.422
S7 S 0.828 0.270 0.449
S8 S 0.894 0.459 0.824
# Fermi-level density of states = 0.580 states/eV/atom
# total magnetic moment = 0.8 μB/f.u.
# density = 7.137 g/cm³
# ΔE_f (raw) = -0.166 eV/atom

no.,energy (eV/cell)
1,-15.85
2,-86.84